This record from Alexandria describes Ho2NpCoO8 after structural relaxation. The functional is PBE+U.

Results
The value obtained for the raw total energy is -97.937 eV/f.u. The crystal system is triclinic.

The structure in POSCAR format:
```
Ho2NpCoO8
1.0
-4.2255 2.5679 0.0227
-1.0784 -2.5460 -4.1066
-3.3036 -4.2906 4.2975
O Co Ho Np
8 1 2 1
Direct
0.3026 0.2935 0.9992
0.7929 0.2166 0.1903
0.7177 0.7203 0.5005
0.2071 0.7834 0.8097
0.6974 0.7065 0.0008
0.2823 0.2797 0.4995
0.1525 0.8440 0.2579
0.8475 0.1560 0.7421
0.0000 0.0000 0.5000
0.5417 0.4594 0.7305
0.4583 0.5406 0.2695
0.0000 0.0000 0.0000
```